# 1
Below is a relaxed Sr5Ac2Tl4 crystal, with properties calculated at the GGA-PBE level.

Cell lengths 26.627, 3.983, 9.216 Å; angles 90.00, 109.27, 90.00 degrees
Space group C2/m (No. 12)
One atom of each set of equivalent atoms:
Sr  0.000  0.000  0.000
Sr  0.122  0.500  0.328
Sr  0.149  0.500  0.912
Ac  0.231  0.000  0.663
Tl  0.008  0.500  0.690
Tl  0.088  0.000  0.583

Values from the calculation:
Total energy: -2.45 eV/atom
Formation enthalpy at 0 K: -7 kJ per mole of atoms
D(E_F): 22.17 states/eV/cell
Crystal system: monoclinic
Total magnetic moment: 0.00 μB per formula unit

=====

# 2
Below is a relaxed PrHS2 crystal, with properties calculated at the GGA-PBE level.

Cell lengths 4.3235, 4.3235, 18.4123 Å; angles 90.00, 90.00, 120.00 degrees
Space group R-3m (No. 166, hexagonal axes)
One atom of each set of equivalent atoms:
Pr  0.0000  0.0000  0.0000
H  0.0000  0.0000  0.5000
S  0.0000  0.0000  0.4114

Values from the calculation:
Total energy: -5.34 eV/atom
ΔE to the lowest computed polymorph: 70.6 meV per atom
D(E_F): 0.00 states/eV/cell
Crystal system: trigonal
Total magnetic moment: 0.00 μB per formula unit

=====

Look up the total energy of the first one. -2.45 eV/atom

=====

What is the formula in the first record? Sr5Ac2Tl4